Density functional theory data (PBE) for a relaxed Sm4ErCd crystal.

a = 3.6267 Å, b = 3.6267 Å, c = 14.2468 Å
α = 90.00°, β = 90.00°, γ = 90.00°
Closest atoms and distances in Å follow each position.
Element x y z (fractional)
Er 0.0000 0.0000 0.0000  8 Sm 3.57, 4 Er 3.63
Sm 0.0000 0.0000 0.6476  4 Cd 3.32, 8 Sm 3.60-3.63
Sm 0.5000 0.5000 0.1748  4 Er 3.57, 8 Sm 3.60-3.63
Sm 0.0000 0.0000 0.3524  4 Cd 3.32, 8 Sm 3.60-3.63
Sm 0.5000 0.5000 0.8252  4 Er 3.57, 8 Sm 3.60-3.63
Cd 0.5000 0.5000 0.5000  8 Sm 3.32, 4 Cd 3.63

Calculated values
Space-group type: No. 123
Distance to the lowest polymorph of the same formula in eV/f.u.: 0.00
Raw total energy in eV/cell: -24.91
Volume in Å³ per cell: 187
Total magnetization in μB/f.u.: 0.0
DFT formation energy in eV/atom: -0.092